1.
Material: YBe2As
Method: DFT, PBE
State: optimized geometry

Cell lengths 3.981, 4.001, 4.001 Å; angles 90.00, 90.00, 90.00 degrees
Atoms (fractional coordinates):
Be1 0.000 0.000 0.000
Be2 0.000 0.500 0.500
As1 0.500 0.000 0.500
Y1 0.500 0.500 0.000

## Properties
* crystal system: tetragonal
* calculated total energy: -4.7167 eV per atom
* ΔH_f (0 K): -75 meV per atom

***

2.
Material: Y2BeAs
Method: DFT, PBE
State: optimized geometry

Cell lengths 4.022, 4.022, 7.238 Å; angles 73.89, 73.89, 59.95 degrees
Atoms (fractional coordinates):
As1 0.750 0.750 0.750
Be1 0.250 0.250 0.250
Y1 0.497 0.497 0.508
Y2 0.003 0.003 0.992

## Properties
* E above lowest polymorph: 0.87 eV/f.u.
* crystal system: trigonal
* calculated total energy: -5.8499 eV per atom
* ΔH_f (0 K): -524 meV per atom

***

3.
Material: YBeAs2
Method: DFT, PBE
State: optimized geometry

Cell lengths 3.885, 3.885, 5.871 Å; angles 90.00, 90.00, 90.00 degrees
Atoms (fractional coordinates):
As1 0.000 0.000 0.867
As2 0.500 0.500 0.335
Be1 0.000 0.000 0.479
Y1 0.500 0.500 0.819

## Properties
* crystal system: tetragonal
* calculated total energy: -5.1837 eV per atom
* ΔH_f (0 K): -311 meV per atom

***

> Among the records above, which one has the lowest calculated total energy?

Y2BeAs